VASP calculation (PBE-GGA) on a relaxed Ca2LaSi crystal.

Total magnetic moment ... 0.00 μB/atom
Density ... 3.33 Mg/m³
Formation energy without anion corrections ... 75 meV/atom
V ... 30.80 A^3/atom
Electronic total energy ... -3.51 eV/atom

a = 6.7766 Å, b = 6.7766 Å, c = 3.6766 Å
α = 104.94°, β = 104.94°, γ = 121.05°
Last column: nearest neighbours and their distance in Å.
Fractional coordinates of all 4 atoms:
Ca: 0.0000 0.5000 0.0000  6 Ca 3.33-3.68, 2 La 3.41, 2 Si 3.41
Ca: 0.5000 0.0000 0.0000  6 Ca 3.33-3.68, 2 La 3.41, 2 Si 3.41
La: 0.0000 0.0000 0.5000  4 Si 3.33-3.43, 4 Ca 3.41, 2 La 3.68
Si: 0.5000 0.5000 0.5000  4 La 3.33-3.43, 4 Ca 3.41, 2 Si 3.68

=====

VASP calculation (PBE-GGA) on a relaxed Rb2Zr3PbS8 crystal.

Total magnetic moment ... 0.00 μB/atom
Density ... 3.63 Mg/m³
Formation energy without anion corrections ... -1315 meV/atom
V ... 29.65 A^3/atom
Electronic total energy ... -5.91 eV/atom

a = 9.2849 Å, b = 9.2849 Å, c = 9.2849 Å
α = 48.74°, β = 48.74°, γ = 48.74°
Last column: nearest neighbours and their distance in Å.
Fractional coordinates of all 14 atoms:
Rb: 0.0000 0.0000 0.0000  4 S 3.17-3.21
Rb: 0.3513 0.3513 0.3513  6 S 3.35-3.36
Zr: 0.3555 0.3555 0.8649  6 S 2.50-2.65
Zr: 0.3555 0.8649 0.3555  6 S 2.50-2.65
Zr: 0.8649 0.3555 0.3555  6 S 2.50-2.65
Pb: 0.7493 0.7493 0.7493  3 S 2.66
S: 0.0860 0.0860 0.5630  2 Zr 2.50
S: 0.0860 0.5630 0.0860  2 Zr 2.50
S: 0.1311 0.1311 0.1311  3 Zr 2.63
S: 0.1590 0.6126 0.6126  2 Zr 2.65, 1 Pb 2.66
S: 0.5630 0.0860 0.0860  2 Zr 2.50
S: 0.5811 0.5811 0.5811  3 Zr 2.64
S: 0.6126 0.1590 0.6126  2 Zr 2.65, 1 Pb 2.66
S: 0.6126 0.6126 0.1590  2 Zr 2.65, 1 Pb 2.66

=====

VASP calculation (PBE-GGA) on a relaxed Ag5PbS4 crystal.

Total magnetic moment ... 0.00 μB/atom
Density ... 6.18 Mg/m³
Formation energy without anion corrections ... -61 meV/atom
V ... 23.50 A^3/atom
Electronic total energy ... -3.51 eV/atom

a = 8.0580 Å, b = 9.5545 Å, c = 6.1059 Å
α = 90.00°, β = 90.00°, γ = 90.00°
Last column: nearest neighbours and their distance in Å.
Fractional coordinates of all 20 atoms:
Ag: 0.0694 0.0747 0.2151  2 S 2.44-2.48
Ag: 0.0694 0.4253 0.2151  2 S 2.44-2.48
Ag: 0.2500 0.7500 0.2406  4 S 2.57-2.63
Ag: 0.4306 0.0747 0.2151  2 S 2.44-2.48
Ag: 0.4306 0.4253 0.2151  2 S 2.44-2.48
Ag: 0.5694 0.5747 0.7849  2 S 2.44-2.48
Ag: 0.5694 0.9253 0.7849  2 S 2.44-2.48
Ag: 0.7500 0.2500 0.7594  4 S 2.57-2.63
Ag: 0.9306 0.5747 0.7849  2 S 2.44-2.48
Ag: 0.9306 0.9253 0.7849  2 S 2.44-2.48
Pb: 0.2500 0.2500 0.7689  2 S 2.69
Pb: 0.7500 0.7500 0.2311  2 S 2.69
S: 0.0064 0.7500 0.5120  3 Ag 2.44-2.57, 1 Pb 2.69
S: 0.2500 0.5479 0.9489  5 Ag 2.48-2.77
S: 0.2500 0.9521 0.9489  5 Ag 2.48-2.77
S: 0.4936 0.7500 0.5120  3 Ag 2.44-2.57, 1 Pb 2.69
S: 0.5064 0.2500 0.4880  3 Ag 2.44-2.57, 1 Pb 2.69
S: 0.7500 0.0479 0.0511  5 Ag 2.48-2.77
S: 0.7500 0.4521 0.0511  5 Ag 2.48-2.77
S: 0.9936 0.2500 0.4880  3 Ag 2.44-2.57, 1 Pb 2.69

=====

VASP calculation (PBE-GGA) on a relaxed TbCe2Sn crystal.

Total magnetic moment ... 0.00 μB/atom
Density ... 8.35 Mg/m³
V ... 27.74 A^3/atom
Electronic total energy ... -5.54 eV/atom
DFT formation energy ... -412 meV per atom

a = 4.4688 Å, b = 4.3721 Å, c = 11.5289 Å
α = 90.00°, β = 99.92°, γ = 90.00°
Last column: nearest neighbours and their distance in Å.
Fractional coordinates of all 8 atoms:
Tb: 0.1963 0.2500 0.3900  5 Sn 3.16-3.22
Tb: 0.8037 0.7500 0.6100  5 Sn 3.16-3.22
Ce: 0.1035 0.7500 0.1154  2 Ce 2.82
Ce: 0.4980 0.7500 0.8831  2 Ce 2.82
Ce: 0.5020 0.2500 0.1169  2 Ce 2.82
Ce: 0.8965 0.2500 0.8846  2 Ce 2.82
Sn: 0.3233 0.2500 0.6684  5 Tb 3.16-3.22, 4 Ce 3.25-3.39
Sn: 0.6767 0.7500 0.3316  5 Tb 3.16-3.22, 4 Ce 3.25-3.39

=====

VASP calculation (PBE-GGA) on a relaxed La6Dy8Er crystal.

Total magnetic moment ... 0.00 μB/atom
Density ... 7.47 Mg/m³
V ... 34.10 A^3/atom
Electronic total energy ... -4.62 eV/atom
DFT formation energy ... 112 meV per atom

a = 8.8196 Å, b = 8.8196 Å, c = 8.8196 Å
α = 62.44°, β = 62.44°, γ = 62.44°
Last column: nearest neighbours and their distance in Å.
Fractional coordinates of all 15 atoms:
La: 0.0353 0.7330 0.5937  4 Dy 3.38-3.66, 1 Er 3.51, 2 La 3.57
La: 0.2670 0.4063 0.9647  4 Dy 3.38-3.66, 1 Er 3.51, 2 La 3.57
La: 0.4063 0.9647 0.2670  4 Dy 3.38-3.66, 1 Er 3.51, 2 La 3.57
La: 0.5937 0.0353 0.7330  4 Dy 3.38-3.66, 1 Er 3.51, 2 La 3.57
La: 0.7330 0.5937 0.0353  4 Dy 3.38-3.66, 1 Er 3.51, 2 La 3.57
La: 0.9647 0.2670 0.4063  4 Dy 3.38-3.66, 1 Er 3.51, 2 La 3.57
Dy: 0.0770 0.0770 0.0770  4 Dy 3.26-3.45, 3 La 3.54
Dy: 0.2086 0.2608 0.6137  3 La 3.38-3.66, 5 Dy 3.45-3.49, 1 Er 3.57
Dy: 0.2608 0.6137 0.2086  3 La 3.38-3.66, 5 Dy 3.45-3.49, 1 Er 3.57
Dy: 0.3863 0.7914 0.7392  3 La 3.38-3.66, 5 Dy 3.45-3.49, 1 Er 3.57
Dy: 0.6137 0.2086 0.2608  3 La 3.38-3.66, 5 Dy 3.45-3.49, 1 Er 3.57
Dy: 0.7392 0.3863 0.7914  3 La 3.38-3.66, 5 Dy 3.45-3.49, 1 Er 3.57
Dy: 0.7914 0.7392 0.3863  3 La 3.38-3.66, 5 Dy 3.45-3.49, 1 Er 3.57
Dy: 0.9230 0.9230 0.9230  4 Dy 3.26-3.45, 3 La 3.54
Er: 0.5000 0.5000 0.5000  6 La 3.51, 6 Dy 3.57

=====

VASP calculation (PBE-GGA) on a relaxed LiCu2SnSe4 crystal.

Total magnetic moment ... 0.00 μB/atom
Density ... 4.94 Mg/m³
Formation energy without anion corrections ... -456 meV/atom
V ... 23.90 A^3/atom
Electronic total energy ... -3.96 eV/atom

a = 7.0575 Å, b = 7.0575 Å, c = 7.0575 Å
α = 131.84°, β = 131.84°, γ = 70.48°
Last column: nearest neighbours and their distance in Å.
Fractional coordinates of all 8 atoms:
Li: 0.0000 0.0000 0.0000  4 Se 2.54
Cu: 0.2500 0.7500 0.5000  4 Se 2.42
Cu: 0.7500 0.2500 0.5000  4 Se 2.42
Sn: 0.5000 0.5000 0.0000  4 Se 2.60
Se: 0.1093 0.6188 0.0000  2 Cu 2.42, 1 Li 2.54, 1 Sn 2.60
Se: 0.3812 0.3812 0.4904  2 Cu 2.42, 1 Li 2.54, 1 Sn 2.60
Se: 0.6188 0.1093 0.0000  2 Cu 2.42, 1 Li 2.54, 1 Sn 2.60
Se: 0.8907 0.8907 0.5096  2 Cu 2.42, 1 Li 2.54, 1 Sn 2.60